Entry 1:
# CsP2SeO

A relaxed structure of CsP2SeO (PBE-GGA, Alexandria via LeMat-Bulk).

The structure in extended XYZ format:
```
5
Lattice="5.518 0.000 0.000 0.000 5.518 0.000 0.000 0.000 4.250" Properties=species:S:1:pos:R:3 pbc="T T T"
Cs 0.000 0.000 0.000
P 0.000 2.759 0.000
P 2.759 0.000 0.000
Se 2.759 2.759 2.125
O 0.000 0.000 2.125
```

Calculated values
As for the density of states at the Fermi level: 3.9 states/eV per cell. Its total energy is -2.383 eV per atom. As for the uncorrected formation energy: 1.64 eV per atom.

Entry 2:
# SrIrAu2

A relaxed structure of SrIrAu2 (PBE-GGA, Alexandria via LeMat-Bulk).

The structure in extended XYZ format:
```
12
Lattice="3.091 0.000 0.000 -1.545 2.677 0.000 0.000 0.000 29.107" Properties=species:S:1:pos:R:3 pbc="T T T"
Sr 0.000 0.000 0.000
Sr 0.000 1.784 19.405
Sr 1.545 0.892 9.702
Ir 0.000 0.000 14.553
Ir 0.000 1.784 4.851
Ir 1.545 0.892 24.256
Au 0.000 0.000 7.061
Au 0.000 0.000 22.046
Au 0.000 1.784 12.343
Au 0.000 1.784 26.466
Au 1.545 0.892 2.641
Au 1.545 0.892 16.763
```

Calculated values
As for the density of states at the Fermi level: 10.8 states/eV per cell. Its total energy is -3.749 eV per atom. The formation enthalpy at 0 K comes out at 12.12 kcal/mol of atoms.

Entry 3:
# Sm3Si4Ag

A relaxed structure of Sm3Si4Ag (PBE-GGA, Alexandria via LeMat-Bulk).

The structure in extended XYZ format:
```
16
Lattice="4.330 0.000 0.000 0.000 5.825 0.000 0.000 0.000 15.091" Properties=species:S:1:pos:R:3 pbc="T T T"
Sm 0.000 0.000 0.000
Sm 0.000 2.912 2.896
Sm 0.000 2.912 12.195
Sm 2.165 0.000 4.650
Sm 2.165 0.000 10.442
Sm 2.165 2.912 7.546
Si 0.000 1.739 5.695
Si 0.000 1.739 9.397
Si 0.000 4.086 5.695
Si 0.000 4.086 9.397
Si 2.165 1.173 1.851
Si 2.165 1.173 13.240
Si 2.165 4.651 1.851
Si 2.165 4.651 13.240
Ag 0.000 0.000 7.546
Ag 2.165 2.912 0.000
```

Calculated values
As for the density of states at the Fermi level: 4.4 states/eV per cell. Its total energy is -5.322 eV per atom. As for the uncorrected formation energy: -0.48 eV per atom.

Entry 4:
# LiHg2F8

A relaxed structure of LiHg2F8 (PBE-GGA, Alexandria via LeMat-Bulk).

The structure in extended XYZ format:
```
11
Lattice="5.511 -2.701 0.000 5.511 2.701 0.000 -0.719 0.000 5.240" Properties=species:S:1:pos:R:3 pbc="T T T"
Li 0.000 0.000 0.000
Hg 2.508 0.000 4.070
Hg 7.795 0.000 1.170
F 4.076 1.406 0.352
F 1.685 0.000 2.162
F 6.227 1.406 4.888
F 4.358 0.000 2.991
F 5.945 0.000 2.249
F 4.076 -1.406 0.352
F 8.618 0.000 3.078
F 6.227 -1.406 4.888
```

Calculated values
As for the density of states at the Fermi level: 7.4 states/eV per cell. Its total energy is -2.805 eV per atom. As for the uncorrected formation energy: -1.22 eV per atom.

Entry 5:
# CaSi2Pb

A relaxed structure of CaSi2Pb (PBE-GGA, Alexandria via LeMat-Bulk).

The structure in extended XYZ format:
```
12
Lattice="3.851 0.000 0.000 -1.925 3.335 0.000 0.000 0.000 23.943" Properties=species:S:1:pos:R:3 pbc="T T T"
Ca 0.000 0.000 0.000
Ca 0.000 2.223 15.962
Ca 1.925 1.112 7.981
Si 0.000 0.000 5.838
Si 0.000 0.000 18.104
Si 0.000 2.223 10.124
Si 0.000 2.223 21.800
Si 1.925 1.112 2.143
Si 1.925 1.112 13.819
Pb 0.000 0.000 11.971
Pb 0.000 2.223 3.990
Pb 1.925 1.112 19.952
```

Calculated values
As for the density of states at the Fermi level: 13.3 states/eV per cell. Its total energy is -3.799 eV per atom. As for the uncorrected formation energy: 0.34 eV per atom.

Entry 6:
# AgAs2OsPt

A relaxed structure of AgAs2OsPt (PBE-GGA, Alexandria via LeMat-Bulk).

The structure in extended XYZ format:
```
5
Lattice="4.750 0.000 0.000 0.000 4.750 0.000 0.000 0.000 5.006" Properties=species:S:1:pos:R:3 pbc="T T T"
Ag 0.000 0.000 0.000
As 0.000 2.375 0.000
As 2.375 0.000 0.000
Os 0.000 0.000 2.503
Pt 2.375 2.375 2.503
```

Calculated values
As for the density of states at the Fermi level: 4.8 states/eV per cell. Its total energy is -3.988 eV per atom. The formation enthalpy at 0 K comes out at 43.73 kcal/mol of atoms.

Entry 7:
# ErAlIr2

A relaxed structure of ErAlIr2 (PBE-GGA, Alexandria via LeMat-Bulk).

The structure in extended XYZ format:
```
4
Lattice="4.400 0.000 0.000 0.000 4.400 0.000 0.000 0.000 3.444" Properties=species:S:1:pos:R:3 pbc="T T T"
Er 0.000 0.000 0.000
Al 2.200 2.200 0.000
Ir 0.000 2.200 1.722
Ir 2.200 0.000 1.722
```

Calculated values
As for the density of states at the Fermi level: 0.7 states/eV per cell. Its total energy is -7.304 eV per atom. The formation enthalpy at 0 K comes out at -18.37 kcal/mol of atoms.

Entry 8:
# LiThRe2N6

A relaxed structure of LiThRe2N6 (PBE-GGA, Alexandria via LeMat-Bulk).

The structure in extended XYZ format:
```
20
Lattice="5.325 -5.158 0.000 5.325 5.158 0.000 -2.483 0.000 5.782" Properties=species:S:1:pos:R:3 pbc="T T T"
Li 3.463 2.802 4.336
Li 4.704 -2.802 1.445
Th 4.704 4.053 1.445
Th 3.463 -4.053 4.336
Re 2.539 0.850 1.651
Re 1.297 -0.850 4.542
Re 6.870 0.850 1.240
Re 5.628 -0.850 4.131
N 0.838 0.906 0.933
N 3.088 2.482 2.149
N -0.404 -0.906 3.824
N 3.624 0.242 0.259
N 2.383 -0.242 3.149
N 6.321 2.482 0.742
N 1.846 -2.482 5.040
N 5.784 0.242 2.632
N 4.543 -0.242 5.523
N 8.571 0.906 1.957
N 5.079 -2.482 3.632
N 7.329 -0.906 4.848
```

Calculated values
As for the density of states at the Fermi level: 10.0 states/eV per cell. Its total energy is -8.866 eV per atom. As for the uncorrected formation energy: -0.45 eV per atom.

Entry 9:
# Pd3RuC

A relaxed structure of Pd3RuC (PBE-GGA, Alexandria via LeMat-Bulk).

The structure in extended XYZ format:
```
5
Lattice="4.154 0.000 0.000 0.000 4.154 0.000 0.000 0.000 4.154" Properties=species:S:1:pos:R:3 pbc="T T T"
Pd 0.000 0.000 2.077
Pd 0.000 2.077 0.000
Pd 2.077 0.000 0.000
Ru 2.077 2.077 2.077
C 0.000 0.000 0.000
```

Calculated values
As for the density of states at the Fermi level: 7.1 states/eV per cell. Its total energy is -6.120 eV per atom. The formation enthalpy at 0 K comes out at 16.03 kcal/mol of atoms.

Entry 10:
# KIrN2O

A relaxed structure of KIrN2O (PBE-GGA, Alexandria via LeMat-Bulk).

The structure in extended XYZ format:
```
5
Lattice="4.166 0.000 0.000 0.000 4.166 0.000 0.000 0.000 4.190" Properties=species:S:1:pos:R:3 pbc="T T T"
K 0.000 0.000 0.000
Ir 2.083 2.083 2.095
N 0.000 2.083 0.000
N 2.083 0.000 0.000
O 0.000 0.000 2.095
```

Calculated values
As for the density of states at the Fermi level: 7.0 states/eV per cell. Its total energy is -2.976 eV per atom. As for the uncorrected formation energy: 3.34 eV per atom.

Entry 11:
# UZnSi2Pt2

A relaxed structure of UZnSi2Pt2 (PBE-GGA, Alexandria via LeMat-Bulk).

The structure in extended XYZ format:
```
6
Lattice="4.175 0.000 0.000 -2.088 3.616 0.000 0.000 0.000 6.812" Properties=species:S:1:pos:R:3 pbc="T T T"
U 0.000 0.000 0.000
Zn 0.000 0.000 3.406
Si 0.000 2.411 5.016
Si 2.088 1.205 1.796
Pt 0.000 2.411 2.187
Pt 2.088 1.205 4.624
```

Calculated values
As for the density of states at the Fermi level: 9.9 states/eV per cell. Its total energy is -6.471 eV per atom. As for the uncorrected formation energy: -0.56 eV per atom.

Entry 12:
# Hf3SbC

A relaxed structure of Hf3SbC (PBE-GGA, Alexandria via LeMat-Bulk).

The structure in extended XYZ format:
```
5
Lattice="4.524 0.000 0.000 0.000 4.524 0.000 0.000 0.000 4.524" Properties=species:S:1:pos:R:3 pbc="T T T"
Hf 0.000 0.000 2.262
Hf 0.000 2.262 0.000
Hf 2.262 0.000 0.000
Sb 2.262 2.262 2.262
C 0.000 0.000 0.000
```

Calculated values
As for the density of states at the Fermi level: 4.5 states/eV per cell. Its total energy is -8.998 eV per atom. As for the uncorrected formation energy: -0.36 eV per atom.

| no. | total moment (μB per atom) |
| --- | --- |
| 1 | 0.078 |
| 2 | 0.154 |
| 3 | 0.000 |
| 4 | 0.086 |
| 5 | 0.000 |
| 6 | 0.517 |
| 7 | 0.000 |
| 8 | 0.000 |
| 9 | 0.505 |
| 10 | 0.036 |
| 11 | 0.394 |
| 12 | 0.000 |